Record 1
The following is a DFT calculation (PBE-GGA) of a relaxed RbUBe2O6 crystal.

Lattice parameters (Å, degrees): 6.963 6.963 5.864 100.97 100.97 94.07
Fractional coordinates of all 20 atoms:
Rb  0.090  0.910  0.750
Rb  0.910  0.090  0.250
U  0.313  0.687  0.250
U  0.687  0.313  0.750
Be  0.222  0.365  0.856
Be  0.365  0.222  0.356
Be  0.635  0.778  0.644
Be  0.778  0.635  0.144
O  0.013  0.693  0.245
O  0.268  0.610  0.910
O  0.276  0.353  0.160
O  0.307  0.987  0.255
O  0.353  0.276  0.660
O  0.390  0.732  0.590
O  0.610  0.268  0.410
O  0.647  0.724  0.340
O  0.693  0.013  0.745
O  0.724  0.647  0.840
O  0.732  0.390  0.090
O  0.987  0.307  0.755

Volume ... 272.27 Å³ per cell
ΔE_f (raw) ... -2.39 eV per atom


Record 2
The following is a DFT calculation (PBE-GGA) of a relaxed Hf2RuBrCl crystal.

Lattice parameters (Å, degrees): 4.898 4.898 5.317 90.00 90.00 90.00
Fractional coordinates of all 5 atoms:
Hf  0.000  0.500  0.000
Hf  0.500  0.000  0.000
Ru  0.000  0.000  0.500
Br  0.500  0.500  0.000
Cl  0.500  0.500  0.500

Volume ... 127.56 Å³ per cell
ΔE_f (raw) ... 1.32 eV per atom


Record 3
The following is a DFT calculation (PBE-GGA) of a relaxed La8As3IrBr4 crystal.

Lattice parameters (Å, degrees): 8.836 8.836 8.836 59.25 59.25 59.25
Fractional coordinates of all 16 atoms:
La  0.241  0.241  0.241
La  0.252  0.731  0.731
La  0.269  0.269  0.748
La  0.269  0.748  0.269
La  0.731  0.252  0.731
La  0.731  0.731  0.252
La  0.748  0.269  0.269
La  0.759  0.759  0.759
As  0.000  0.000  0.500
As  0.000  0.500  0.000
As  0.500  0.000  0.000
Ir  0.500  0.500  0.500
Br  0.000  0.000  0.000
Br  0.000  0.500  0.500
Br  0.500  0.000  0.500
Br  0.500  0.500  0.000

Volume ... 479.47 Å³ per cell
ΔE_f (raw) ... -1.44 eV per atom


Record 4
The following is a DFT calculation (PBE-GGA) of a relaxed Li3Al2Zn crystal.

Lattice parameters (Å, degrees): 6.302 4.396 6.775 90.00 102.04 90.00
Fractional coordinates of all 12 atoms:
Li  0.052  0.250  0.179
Li  0.197  0.250  0.838
Li  0.384  0.250  0.507
Li  0.616  0.750  0.493
Li  0.803  0.750  0.162
Li  0.948  0.750  0.821
Al  0.128  0.750  0.492
Al  0.459  0.750  0.839
Al  0.541  0.250  0.161
Al  0.872  0.250  0.508
Zn  0.291  0.750  0.165
Zn  0.709  0.250  0.835

Volume ... 183.59 Å³ per cell
Energy relative to the elements ... -0.189 eV per atom


Record 5
The following is a DFT calculation (PBE-GGA) of a relaxed HgPPt2 crystal.

Lattice parameters (Å, degrees): 5.979 5.979 5.979 112.81 112.81 102.99
Fractional coordinates of all 8 atoms:
Hg  0.000  0.000  0.000
Hg  0.750  0.250  0.500
P  0.250  0.750  0.500
P  0.500  0.500  0.000
Pt  0.193  0.625  0.068
Pt  0.375  0.443  0.568
Pt  0.557  0.125  0.932
Pt  0.875  0.807  0.432

Volume ... 162.96 Å³ per cell
Energy relative to the elements ... -0.050 eV per atom


Record 6
The following is a DFT calculation (PBE-GGA) of a relaxed PmTm2Te3 crystal.

Lattice parameters (Å, degrees): 7.567 7.567 7.567 146.54 132.13 59.66
Fractional coordinates of all 6 atoms:
Pm  0.000  0.000  0.000
Tm  0.342  0.342  0.000
Tm  0.658  0.658  0.000
Te  0.177  0.677  0.500
Te  0.500  0.000  0.500
Te  0.823  0.323  0.500

Volume ... 175.59 Å³ per cell
ΔE_f (raw) ... -1.25 eV per atom


Record 7
The following is a DFT calculation (PBE-GGA) of a relaxed Cs2TlBC crystal.

Lattice parameters (Å, degrees): 6.804 6.804 4.203 90.00 90.00 90.00
Fractional coordinates of all 5 atoms:
Cs  0.000  0.500  0.000
Cs  0.500  0.000  0.000
Tl  0.000  0.000  0.500
B  0.500  0.500  0.500
C  0.000  0.000  0.000

Volume ... 194.57 Å³ per cell
Energy relative to the elements ... 1.596 eV per atom


Record 8
The following is a DFT calculation (PBE-GGA) of a relaxed Cu3BS4 crystal.

Lattice parameters (Å, degrees): 6.160 6.160 6.160 131.66 131.66 70.77
Fractional coordinates of all 8 atoms:
Cu  0.000  0.000  0.000
Cu  0.250  0.750  0.500
Cu  0.750  0.250  0.500
B  0.500  0.500  0.000
S  0.168  0.168  0.559
S  0.392  0.832  0.000
S  0.608  0.608  0.441
S  0.832  0.392  0.000

Volume ... 127.83 Å³ per cell
ΔE_f (raw) ... -0.31 eV per atom


Record 9
The following is a DFT calculation (PBE-GGA) of a relaxed MnCuPH crystal.

Lattice parameters (Å, degrees): 4.268 4.268 3.764 97.23 97.23 38.57
Fractional coordinates of all 4 atoms:
Mn  0.000  0.000  0.000
Cu  0.306  0.306  0.462
P  0.711  0.711  0.924
H  0.484  0.484  0.266

E ... -21.91 eV/f.u.
Volume ... 42.37 Å³ per cell


Record 10
The following is a DFT calculation (PBE-GGA) of a relaxed NbNi4Sb crystal.

Lattice parameters (Å, degrees): 4.849 4.849 4.849 60.00 60.00 60.00
Fractional coordinates of all 6 atoms:
Nb  0.000  0.000  0.000
Ni  0.122  0.626  0.626
Ni  0.626  0.122  0.626
Ni  0.626  0.626  0.122
Ni  0.626  0.626  0.626
Sb  0.250  0.250  0.250

Volume ... 80.62 Å³ per cell
ΔE_f (raw) ... -0.11 eV per atom


Record 11
The following is a DFT calculation (PBE-GGA) of a relaxed Tm3NiTe crystal.

Lattice parameters (Å, degrees): 6.827 6.827 8.703 115.61 115.61 46.22
Fractional coordinates of all 10 atoms:
Tm  0.098  0.098  0.225
Tm  0.161  0.161  0.666
Tm  0.382  0.382  0.095
Tm  0.618  0.618  0.905
Tm  0.839  0.839  0.334
Tm  0.902  0.902  0.775
Ni  0.142  0.142  0.956
Ni  0.858  0.858  0.044
Te  0.371  0.371  0.551
Te  0.629  0.629  0.449

Volume ... 258.49 Å³ per cell
ΔE_f (raw) ... -0.57 eV per atom


Record 12
The following is a DFT calculation (PBE-GGA) of a relaxed MgCdSb crystal.

Lattice parameters (Å, degrees): 5.661 5.661 5.661 145.11 134.67 58.45
Fractional coordinates of all 3 atoms:
Mg  0.000  0.000  0.000
Cd  0.338  0.338  0.000
Sb  0.660  0.660  0.000

Volume ... 73.14 Å³ per cell
ΔE_f (raw) ... -0.04 eV per atom